Record 1
Al2TeCl after structural relaxation, computed with GGA-PBEsol.

The structure in extended XYZ format:
```
4
Lattice="3.3536 0.1173 0.0000 -1.4140 3.0432 0.0000 0.0000 0.0000 8.9552" Properties=species:S:1:pos:R:3 pbc="T T T"
Te 0.9698 1.5803 1.7136
Al 0.0000 0.0000 8.7193
Al 0.9698 1.5803 6.8079
Cl 0.0000 0.0000 5.1471
```

ΔE_f (raw) = -0.24 eV/atom

Record 2
PuB2Ir3 after structural relaxation, computed with GGA-PBEsol.

The structure in extended XYZ format:
```
6
Lattice="-2.7261 -0.9577 -0.0216 0.7898 -2.3620 5.0462 -1.8586 5.2989 -0.3665" Properties=species:S:1:pos:R:3 pbc="T T T"
B -0.0930 0.1916 3.2420
B -0.9758 2.7453 1.4377
Pu 0.0000 0.0000 0.0000
Ir -1.8975 0.9896 2.3291
Ir -0.9681 -1.6598 2.5123
Ir -2.2924 2.1706 -0.1941
```

Energy relative to the elements = -2.8 eV/f.u.

Record 3
LiTiFe2H after structural relaxation, computed with GGA-PBEsol.

The structure in extended XYZ format:
```
5
Lattice="3.8016 0.0000 0.0000 0.0000 3.8016 0.0000 0.0000 0.0000 4.4781" Properties=species:S:1:pos:R:3 pbc="T T T"
H 1.9008 1.9008 2.2391
Li 0.0000 0.0000 0.0000
Fe 0.0000 1.9008 0.0000
Fe 1.9008 0.0000 0.0000
Ti 0.0000 0.0000 2.2391
```

E = -23.7 eV per cell

Record 4
Zn2TcAu after structural relaxation, computed with GGA-PBEsol.

The structure in extended XYZ format:
```
4
Lattice="2.6485 0.0000 0.0485 0.0000 4.2293 0.0000 -0.3028 0.0000 5.2520" Properties=species:S:1:pos:R:3 pbc="T T T"
Au 1.3242 2.1146 0.0242
Tc -0.1514 2.1146 2.6260
Zn 1.3134 0.0000 3.8451
Zn 1.0322 0.0000 1.4554
```

Relative energy among the computed polymorphs = 0.082 eV/atom
Energy relative to the elements = 0.3 eV/f.u.

Record 5
Ba2CaCd after structural relaxation, computed with GGA-PBEsol.

The structure in extended XYZ format:
```
4
Lattice="-3.2403 -2.4271 -1.9551 3.2504 -5.0207 0.8457 -2.6399 -0.8040 5.3732" Properties=species:S:1:pos:R:3 pbc="T T T"
Ca -1.3149 -4.1259 2.1319
Ba -1.3200 -0.4020 2.6866
Ba 1.6252 -2.5103 0.4228
Cd -1.6201 -1.2135 -0.9776
```

Energy relative to the elements = -0.3 eV/f.u.

Record 6
ZrCd2Si after structural relaxation, computed with GGA-PBEsol.

The structure in extended XYZ format:
```
4
Lattice="-0.0238 -2.6699 -1.2824 4.4003 -0.8460 2.0029 -4.5449 -0.2919 3.9513" Properties=species:S:1:pos:R:3 pbc="T T T"
Cd -2.2724 -0.1459 1.9756
Cd -0.0842 -1.9039 2.3359
Si -0.0119 -1.3349 -0.6412
Zr 2.2002 -0.4230 1.0015
```

ΔE_f (raw) = -0.11 eV/atom

Record 7
Li2VPO5 after structural relaxation, computed with GGA-PBEsol.

The structure in extended XYZ format:
```
18
Lattice="-0.3288 -3.0395 2.4447 5.8398 -2.2901 -2.0620 3.0319 3.4746 4.7277" Properties=species:S:1:pos:R:3 pbc="T T T"
Li 2.5361 -1.8379 4.1818
Li 4.5008 2.7482 4.1642
Li 7.2858 1.6560 3.1808
Li 5.5908 -3.0358 3.1032
V 4.9703 -0.5154 4.0767
V 0.6305 -0.2201 2.0300
P 3.5015 -1.8094 1.3542
P 2.0975 1.0720 4.7498
O 2.8445 -3.1555 0.9883
O 1.5869 1.0799 3.2949
O 5.1510 0.9663 2.9429
O 0.4964 -1.6483 3.2366
O 4.0153 -1.8091 2.8089
O 2.7566 2.4157 5.1240
O 2.4435 -0.6971 1.2045
O 4.6984 -1.5814 0.4083
O 6.7334 -1.4543 3.6227
O 3.1485 -0.0484 4.8885
```

Relative energy among the computed polymorphs = 0.000 eV/atom
ΔE_f (raw) = -2.28 eV/atom

Record 8
SiAg2B after structural relaxation, computed with GGA-PBEsol.

The structure in extended XYZ format:
```
8
Lattice="3.8371 0.0000 0.0000 0.0000 3.8371 0.0000 -1.9186 -1.9186 8.0723" Properties=species:S:1:pos:R:3 pbc="T T T"
Si 0.0000 1.9186 4.0362
Si 0.0000 0.0000 0.0000
B 1.9186 0.0000 4.0362
B 1.9186 1.9186 0.0000
Ag 2.8219 0.9593 2.0181
Ag 1.0153 2.8779 2.0181
Ag 0.9593 0.9033 6.0543
Ag -0.9593 -0.9033 6.0543
```

ΔE_f (raw) = 0.78 eV/atom